1.
## KLiIr (SCAN)

Data for KLiIr at its PBEsol-relaxed geometry.

```
data_KLiIr
_chemical_formula_sum 'K1 Li1 Ir1'
_cell_length_a 2.5763
_cell_length_b 5.0415
_cell_length_c 5.0415
_cell_angle_alpha 120.00
_cell_angle_beta 90.00
_cell_angle_gamma 90.00
_symmetry_space_group_name_H-M 'P 1'
_symmetry_Int_Tables_number 1
_symmetry_space_group_name_Hall 'P 1'
loop_
_atom_site_label
_atom_site_type_symbol
_atom_site_fract_x
_atom_site_fract_y
_atom_site_fract_z
Ir1 Ir 0.0048 0.0000 0.0000
K1 K 0.5091 0.3333 0.6667
Li1 Li 0.4861 0.6667 0.3333
```

The formation enthalpy at 0 K is 0.416 eV per atom. As for the symmetry: P3m1 (156). The calculation puts the energy above the lowest structure with this stoichiometry at 0.00 eV per formula unit.


2.
## NbAgW2 (SCAN)

Data for NbAgW2 at its PBEsol-relaxed geometry.

```
data_NbAgW2
_chemical_formula_sum 'Nb1 Ag1 W2'
_cell_length_a 4.5216
_cell_length_b 4.5216
_cell_length_c 4.5216
_cell_angle_alpha 60.00
_cell_angle_beta 60.00
_cell_angle_gamma 60.00
_symmetry_space_group_name_H-M 'P 1'
_symmetry_Int_Tables_number 1
_symmetry_space_group_name_Hall 'P 1'
loop_
_atom_site_label
_atom_site_type_symbol
_atom_site_fract_x
_atom_site_fract_y
_atom_site_fract_z
W1 W 0.2500 0.2500 0.2500
W2 W 0.7500 0.7500 0.7500
Nb1 Nb 0.0000 0.0000 0.0000
Ag1 Ag 0.5000 0.5000 0.5000
```

The formation enthalpy at 0 K is 0.727 eV per atom. As for the symmetry: Fm-3m (225).


3.
## B2HPd (SCAN)

Data for B2HPd at its PBEsol-relaxed geometry.

```
data_B2HPd
_chemical_formula_sum 'B2 H1 Pd1'
_cell_length_a 3.5961
_cell_length_b 3.5961
_cell_length_c 3.5961
_cell_angle_alpha 60.00
_cell_angle_beta 60.00
_cell_angle_gamma 60.00
_symmetry_space_group_name_H-M 'P 1'
_symmetry_Int_Tables_number 1
_symmetry_space_group_name_Hall 'P 1'
loop_
_atom_site_label
_atom_site_type_symbol
_atom_site_fract_x
_atom_site_fract_y
_atom_site_fract_z
Pd1 Pd 0.5000 0.5000 0.5000
H1 H 0.0000 0.0000 0.0000
B1 B 0.7500 0.7500 0.7500
B2 B 0.2500 0.2500 0.2500
```

Its total energy is -11.510 eV per atom. As for the symmetry: Fm-3m (225).


Which formula does entry 3 have?
B2HPd